Entry from the Alexandria database: an optimized crystal structure of Rb3PRh (PBEsol).

## Properties
Formation energy, eV/atom: 0.8254
Symmetry: Pm-3m (221)
Uncorrected energy, eV per atom: -2.576
Magnetic moment, μB per atom: 0.2495

Cell lengths 5.592, 5.592, 5.592 Å; angles 90.00, 90.00, 90.00 degrees
Element x y z (fractional)
Rb (0.000, 0.000, 0.500)
Rb (0.000, 0.500, 0.000)
Rb (0.500, 0.000, 0.000)
P (0.500, 0.500, 0.500)
Rh (0.000, 0.000, 0.000)